A plane-wave DFT calculation with PBE was carried out for a relaxed MgGaRh2O6 crystal.

Results
The magnetic moment comes out at 1.81 μB/f.u. The calculation puts the total energy at -5.699 eV/atom. For the uncorrected formation energy, the calculation gives -792 meV per atom.

```
data_MgGaRh2O6
_chemical_formula_sum 'Mg1 Ga1 Rh2 O6'
_cell_length_a 5.1120
_cell_length_b 5.1120
_cell_length_c 4.7996
_cell_angle_alpha 90.00
_cell_angle_beta 90.00
_cell_angle_gamma 90.00
_symmetry_space_group_name_H-M 'P 4 m m'
_symmetry_Int_Tables_number 99
_symmetry_space_group_name_Hall 'P 4 -2'
loop_
_atom_site_label
_atom_site_fract_x
_atom_site_fract_y
_atom_site_fract_z
_atom_site_occupancy
Mg1 0.0000 0.0000 0.0000 1
Ga1 0.5000 0.5000 0.0022 1
Rh1 0.0000 0.5000 0.3743 1
O1 0.0000 0.0000 0.5933 1
O2 0.2541 0.2541 0.1785 1
O3 0.5000 0.5000 0.6270 1
```